No. 1
# Nb2In2H

A relaxed structure of Nb2In2H (PBE, Alexandria via LeMat-Bulk).

Lattice parameters (Å, degrees): 7.910 7.910 3.448 90.00 90.00 90.00
Element x y z (fractional)
Nb: 0.106 0.394 0.000
Nb: 0.394 0.894 0.000
Nb: 0.606 0.106 0.000
Nb: 0.894 0.606 0.000
In: 0.191 0.691 0.500
In: 0.309 0.191 0.500
In: 0.691 0.809 0.500
In: 0.809 0.309 0.500
H: 0.000 0.000 0.500
H: 0.500 0.500 0.500



No. 2
# NbInH

A relaxed structure of NbInH (PBE, Alexandria via LeMat-Bulk).

Lattice parameters (Å, degrees): 2.920 4.105 8.689 90.00 90.00 90.00
Element x y z (fractional)
Nb: 0.250 0.250 0.091
Nb: 0.750 0.750 0.909
In: 0.250 0.750 0.612
In: 0.750 0.250 0.388
H: 0.250 0.750 0.071
H: 0.750 0.250 0.929



no.,E above lowest polymorph (meV per atom),total magnetization (Bohr magnetons per cell)
1,618,0.00
2,217,0.00